In6Hg8Bi after structural relaxation, computed with GGA-PBE.

Properties
Total magnetization, Bohr magnetons per cell: 0.00
Formation energy, meV/atom: 16.8
Raw total energy, hartree per atom: -0.0551

Cell and atoms, written as POSCAR:
```
In6Hg8Bi
1.0
7.499 0.669 2.428
3.776 5.999 2.254
1.252 -0.062 10.314
In Hg Bi
6 8 1
Cartesian
5.729 6.139 4.781
9.492 4.438 6.170
3.035 2.168 8.826
5.183 2.498 3.736
6.798 0.467 10.215
7.344 4.108 11.260
5.548 4.214 8.729
3.821 4.089 6.195
8.953 6.322 9.904
7.839 4.224 3.551
3.574 0.284 5.093
6.979 2.392 6.267
4.689 2.382 11.445
8.706 2.517 8.801
0.000 0.000 0.000
```

***

MgTeS2 after structural relaxation, computed with GGA-PBE.

Properties
Total magnetization, Bohr magnetons per cell: 0.00
Formation energy without anion corrections, meV/atom: 5
Raw total energy, hartree per atom: -0.1192

Cell and atoms, written as POSCAR:
```
MgTeS2
1.0
2.673 -3.687 1.559
-0.868 -4.452 -1.610
3.124 -2.135 -2.976
Mg S Te
1 2 1
Cartesian
0.000 0.000 0.000
1.232 -2.569 -0.757
3.696 -7.706 -2.270
2.464 -5.137 -1.513
```

***

Ca3Mg9Zn2 after structural relaxation, computed with GGA-PBE.

Properties
Total magnetization, Bohr magnetons per cell: 0.00
Formation energy, meV/atom: -54.3
Raw total energy, hartree per atom: -0.0621

Cell and atoms, written as POSCAR:
```
Ca3Mg9Zn2
1.0
-1.647 4.595 0.263
0.687 2.357 8.546
7.205 5.202 -0.320
Zn Mg Ca
2 9 3
Cartesian
2.062 5.614 5.687
4.182 6.540 2.802
3.946 3.779 4.113
6.661 9.840 6.096
2.150 8.149 7.387
5.006 9.395 3.501
4.910 9.076 8.478
1.334 3.078 0.012
1.238 2.759 4.988
-0.416 2.314 2.393
4.095 4.005 1.102
0.000 0.000 0.000
1.191 5.477 2.633
5.053 6.677 5.857
```

***

VTcRu3 after structural relaxation, computed with GGA-PBE.

Properties
Total magnetization, Bohr magnetons per cell: 1.33
Formation energy, meV/atom: 1604.8
Raw total energy, hartree per atom: -0.2888

Cell and atoms, written as POSCAR:
```
VTcRu3
1.0
4.603 0.000 0.000
0.000 4.603 0.000
0.000 0.000 4.603
Ru V Tc
3 1 1
Cartesian
0.000 2.302 0.000
0.000 0.000 2.302
2.302 0.000 0.000
2.302 2.302 2.302
0.000 0.000 0.000
```

***

EuY2Au after structural relaxation, computed with GGA-PBE.

Properties
Total magnetization, Bohr magnetons per cell: 8.67
Formation energy, meV/atom: -360.1
Raw total energy, hartree per atom: -0.2565

Cell and atoms, written as POSCAR:
```
EuY2Au
1.0
-2.594 2.409 -0.954
-1.880 -0.823 3.038
4.382 6.487 4.468
Y Au Eu
2 1 1
Cartesian
0.835 1.236 0.851
3.547 5.252 3.617
-2.237 0.793 1.042
-0.047 4.037 3.276
```

***

NdCoSi2 after structural relaxation, computed with GGA-PBE.

Properties
Total magnetization, Bohr magnetons per cell: 0.00
Formation energy without anion corrections, meV/atom: -725
Raw total energy, hartree per atom: -0.2354

Cell and atoms, written as POSCAR:
```
NdCoSi2
1.0
-3.669 0.250 1.637
2.328 -3.043 5.683
2.328 8.969 3.849
Co Nd Si
4 4 8
Cartesian
0.533 5.598 2.814
-1.322 -0.257 4.501
0.454 0.578 8.354
2.308 6.433 6.667
1.342 -1.390 5.697
0.761 2.374 3.817
-0.356 7.566 5.472
0.226 3.802 7.351
0.957 6.445 8.587
2.933 4.863 8.307
-0.463 1.023 6.231
2.006 1.341 6.767
-1.946 1.313 2.861
1.449 5.153 4.937
-1.019 4.835 4.401
0.029 -0.269 2.582
```

***

TlSF2 after structural relaxation, computed with GGA-PBE.

Properties
Total magnetization, Bohr magnetons per cell: 0.00
Formation energy without anion corrections, meV/atom: -920
Raw total energy, hartree per atom: -0.1279

Cell and atoms, written as POSCAR:
```
TlSF2
1.0
-1.258 -4.523 5.950
-2.826 -6.292 3.140
0.793 -6.570 3.694
F Tl S
2 1 1
Cartesian
-3.004 -15.869 11.668
-0.287 -1.517 1.115
-1.646 -8.693 6.392
0.000 0.000 0.000
```

***

DyLuAlPt after structural relaxation, computed with GGA-PBE.

Properties
Total magnetization, Bohr magnetons per cell: 0.00
Formation energy, meV/atom: -764.7
Raw total energy, hartree per atom: -0.2018

Cell and atoms, written as POSCAR:
```
DyLuAlPt
1.0
-2.381 -3.912 -1.940
1.178 -4.605 1.464
-3.180 -2.612 2.794
Al Pt Dy Lu
1 1 1 1
Cartesian
-1.096 -2.782 0.579
-3.287 -8.347 1.738
0.000 0.000 0.000
-2.191 -5.564 1.159
```

***

SbIr after structural relaxation, computed with GGA-PBE.

Properties
Total magnetization, Bohr magnetons per cell: 0.00
Formation energy without anion corrections, meV/atom: 199
Raw total energy, hartree per atom: -0.2312

Cell and atoms, written as POSCAR:
```
SbIr
1.0
-2.340 -1.942 2.598
-0.226 -4.513 -3.578
10.911 -5.236 5.915
Sb Ir
6 6
Cartesian
0.373 -2.831 1.298
4.241 -4.476 3.553
8.088 -6.534 5.480
-0.182 -3.626 -2.875
6.882 -6.804 1.112
3.686 -5.271 -0.620
5.347 -4.775 1.247
8.773 -8.695 1.403
2.361 -2.803 3.110
1.699 -5.299 -2.432
-1.288 -3.328 -0.570
6.196 -4.644 5.189
```

***

VCoGe after structural relaxation, computed with GGA-PBE.

Properties
Total magnetization, Bohr magnetons per cell: 0.00
Formation energy, meV/atom: -262.7
Raw total energy, hartree per atom: -0.2650

Cell and atoms, written as POSCAR:
```
VCoGe
1.0
-2.326 -0.483 1.274
2.027 -0.794 3.401
-1.215 3.768 -0.792
Co V Ge
1 1 1
Cartesian
-0.388 -0.081 0.213
-1.686 1.925 1.454
0.559 0.646 2.215
```

***

Y2TaGa2Ru5 after structural relaxation, computed with GGA-PBE.

Properties
Total magnetization, Bohr magnetons per cell: 0.00
Formation energy, meV/atom: -396.4
Raw total energy, hartree per atom: -0.2983

Cell and atoms, written as POSCAR:
```
Y2TaGa2Ru5
1.0
-1.209 -3.102 -0.242
9.283 -3.454 -2.131
1.730 -1.445 9.877
Ga Ta Ru Y
4 2 10 4
Cartesian
3.678 -1.471 0.466
8.743 -3.551 1.819
2.270 -1.347 5.926
7.335 -3.428 7.280
0.000 0.000 0.000
5.506 -2.449 3.873
4.037 -3.278 -1.187
8.407 -5.062 -0.159
5.857 -4.514 5.564
8.459 -5.671 7.394
6.622 -4.587 2.678
0.260 -2.273 4.818
3.946 -3.486 1.940
1.345 -2.329 0.110
1.397 -2.938 7.663
3.181 -3.413 4.826
6.529 -2.567 0.262
2.160 -1.067 2.880
4.483 -2.332 7.483
8.853 -3.832 4.866
```

***

KPOF2 after structural relaxation, computed with GGA-PBE.

Properties
Total magnetization, Bohr magnetons per cell: 0.00
Formation energy without anion corrections, meV/atom: 236
Raw total energy, hartree per atom: -0.1031

Cell and atoms, written as POSCAR:
```
KPOF2
1.0
4.558 0.000 0.000
0.000 4.558 0.000
0.000 0.000 4.516
K O F P
1 1 2 1
Cartesian
0.000 0.000 0.000
0.000 0.000 2.258
2.279 0.000 0.000
0.000 2.279 0.000
2.279 2.279 2.258
```